The following is a GGA-PBE calculation of an optimized crystal structure of SmZn11Rh, from Alexandria via LeMat-Bulk.

Structure (CIF):
```
data_SmZn11Rh
_cell_length_a 5.120
_cell_length_b 12.777
_cell_length_c 6.821
_cell_angle_alpha 90.00
_cell_angle_beta 111.60
_cell_angle_gamma 90.00
_symmetry_space_group_name_H-M 'C 1 2/m 1'
_symmetry_Int_Tables_number 12
_symmetry_space_group_name_Hall '-C 2y'
loop_
_atom_site_label
_atom_site_fract_x
_atom_site_fract_y
_atom_site_fract_z
Sm1 0.000 0.000 0.000
Zn1 0.000 0.500 0.500
Zn2 0.110 0.391 0.218
Zn3 0.162 0.174 0.357
Zn4 0.250 0.250 0.000
Rh1 0.000 0.000 0.500
```

Results
E_form ... -318 kJ/mol of formula units
Fermi-level density of states ... 9.661 states/eV per cell
Magnetization ... 0.0 μB/cell
Energy ... -58.8 eV/cell

The following is a GGA-PBE calculation of an optimized crystal structure of YHfSb, from Alexandria via LeMat-Bulk.

Structure (CIF):
```
data_YHfSb
_cell_length_a 4.291
_cell_length_b 4.291
_cell_length_c 8.194
_cell_angle_alpha 90.00
_cell_angle_beta 90.00
_cell_angle_gamma 90.00
_symmetry_space_group_name_H-M 'P 4/n m m'
_symmetry_Int_Tables_number 129
loop_
_symmetry_equiv_pos_as_xyz
'x,y,z'
'-x,-y,-z'
'-y+1/2,x,z'
'y+1/2,-x,-z'
'-x+1/2,-y+1/2,z'
'x+1/2,y+1/2,-z'
'y,-x+1/2,z'
'-y,x+1/2,-z'
'x+1/2,-y,-z'
'-x+1/2,y,z'
'-y,-x,-z'
'y,x,z'
'-x,y+1/2,-z'
'x,-y+1/2,z'
'y+1/2,x+1/2,-z'
'-y+1/2,-x+1/2,z'
loop_
_atom_site_label
_atom_site_fract_x
_atom_site_fract_y
_atom_site_fract_z
Y1 0.250 0.250 0.149
Hf1 0.250 0.750 0.500
Sb1 0.250 0.250 0.763
```

Results
Fermi-level density of states ... 4.937 states/eV per cell
Magnetization ... 0.0 μB/cell
Energy ... -45.5 eV/cell

The following is a GGA-PBE calculation of an optimized crystal structure of BaAlAs2, from Alexandria via LeMat-Bulk.

Structure (CIF):
```
data_BaAlAs2
_cell_length_a 3.648
_cell_length_b 5.677
_cell_length_c 10.112
_cell_angle_alpha 90.00
_cell_angle_beta 90.00
_cell_angle_gamma 90.00
_symmetry_space_group_name_H-M 'I m m 2'
_symmetry_Int_Tables_number 44
_symmetry_space_group_name_Hall 'I 2 -2'
loop_
_atom_site_label
_atom_site_fract_x
_atom_site_fract_y
_atom_site_fract_z
Ba1 0.000 0.000 0.000
Al1 0.000 0.500 0.794
As1 0.000 0.000 0.496
As2 0.000 0.500 0.192
```

Results
E_form ... -80 kJ/mol of formula units
Fermi-level density of states ... 5.041 states/eV per cell
Magnetization ... 0.0 μB/cell
Energy ... -31.6 eV/cell

The following is a GGA-PBE calculation of an optimized crystal structure of Na4Np3CuS8, from Alexandria via LeMat-Bulk.

Structure (CIF):
```
data_Na4Np3CuS8
_cell_length_a 13.617
_cell_length_b 7.849
_cell_length_c 8.043
_cell_angle_alpha 90.00
_cell_angle_beta 124.34
_cell_angle_gamma 90.00
_symmetry_space_group_name_H-M 'C 1 2/m 1'
_symmetry_Int_Tables_number 12
_symmetry_space_group_name_Hall '-C 2y'
loop_
_atom_site_label
_atom_site_fract_x
_atom_site_fract_y
_atom_site_fract_z
Na1 0.000 0.000 0.000
Na2 0.000 0.500 0.000
Na3 0.250 0.250 0.000
Np1 0.000 0.000 0.500
Np2 0.250 0.250 0.500
Cu1 0.000 0.500 0.500
S1 0.010 0.252 0.280
S2 0.240 0.500 0.721
S3 0.243 0.000 0.729
```

Results
Fermi-level density of states ... 58.514 states/eV per cell
Magnetization ... 20.0 μB/cell
Energy ... -200.0 eV/cell

The following is a GGA-PBE calculation of an optimized crystal structure of NbNiB2Au, from Alexandria via LeMat-Bulk.

Structure (CIF):
```
data_NbNiB2Au
_cell_length_a 3.854
_cell_length_b 3.854
_cell_length_c 4.731
_cell_angle_alpha 90.00
_cell_angle_beta 90.00
_cell_angle_gamma 90.00
_symmetry_space_group_name_H-M 'P 4/m m m'
_symmetry_Int_Tables_number 123
_symmetry_space_group_name_Hall '-P 4 2'
loop_
_atom_site_label
_atom_site_fract_x
_atom_site_fract_y
_atom_site_fract_z
Nb1 0.000 0.000 0.000
Ni1 0.500 0.500 0.500
B1 0.000 0.500 0.500
Au1 0.500 0.500 0.000
```

Results
E_form ... 466 kJ/mol of formula units
Fermi-level density of states ... 3.645 states/eV per cell
Magnetization ... 0.0 μB/cell
Energy ... -27.7 eV/cell

The following is a GGA-PBE calculation of an optimized crystal structure of TlP2Au, from Alexandria via LeMat-Bulk.

Structure (CIF):
```
data_TlP2Au
_cell_length_a 6.409
_cell_length_b 4.742
_cell_length_c 13.446
_cell_angle_alpha 90.00
_cell_angle_beta 114.92
_cell_angle_gamma 90.00
_symmetry_space_group_name_H-M 'P 1 21/c 1'
_symmetry_Int_Tables_number 14
_symmetry_space_group_name_Hall '-P 2ybc'
loop_
_atom_site_label
_atom_site_fract_x
_atom_site_fract_y
_atom_site_fract_z
Tl1 0.206 0.003 0.209
P1 0.124 0.148 0.499
P2 0.381 0.659 0.003
Au1 0.347 0.001 0.854
```

Results
E_form ... 34 kJ/mol of formula units
Fermi-level density of states ... 5.031 states/eV per cell
Magnetization ... 0.0 μB/cell
ΔE to the lowest computed polymorph ... 118 meV per atom
Energy ... -64.4 eV/cell

The following is a GGA-PBE calculation of an optimized crystal structure of NbCr2Tc2, from Alexandria via LeMat-Bulk.

Structure (CIF):
```
data_NbCr2Tc2
_cell_length_a 4.492
_cell_length_b 4.492
_cell_length_c 4.676
_cell_angle_alpha 90.00
_cell_angle_beta 90.00
_cell_angle_gamma 90.00
_symmetry_space_group_name_H-M 'P 4/m m m'
_symmetry_Int_Tables_number 123
_symmetry_space_group_name_Hall '-P 4 2'
loop_
_atom_site_label
_atom_site_fract_x
_atom_site_fract_y
_atom_site_fract_z
Nb1 0.000 0.000 0.000
Cr1 0.000 0.500 0.000
Tc1 0.000 0.000 0.500
Tc2 0.500 0.500 0.500
```

Results
E_form ... 957 kJ/mol of formula units
Fermi-level density of states ... 8.488 states/eV per cell
Magnetization ... 5.4 μB/cell
ΔE to the lowest computed polymorph ... 1834 meV per atom
Energy ... -40.1 eV/cell

The following is a GGA-PBE calculation of an optimized crystal structure of BI2NF, from Alexandria via LeMat-Bulk.

Structure (CIF):
```
data_BI2NF
_cell_length_a 5.484
_cell_length_b 5.484
_cell_length_c 3.912
_cell_angle_alpha 90.00
_cell_angle_beta 90.00
_cell_angle_gamma 90.00
_symmetry_space_group_name_H-M 'P 4/m m m'
_symmetry_Int_Tables_number 123
_symmetry_space_group_name_Hall '-P 4 2'
loop_
_atom_site_label
_atom_site_fract_x
_atom_site_fract_y
_atom_site_fract_z
B1 0.000 0.000 0.000
I1 0.000 0.500 0.500
N1 0.500 0.500 0.000
F1 0.500 0.500 0.500
```

Results
Fermi-level density of states ... 2.538 states/eV per cell
Magnetization ... 1.2 μB/cell
ΔE to the lowest computed polymorph ... 1873 meV per atom
Energy ... -10.6 eV/cell

The following is a GGA-PBE calculation of an optimized crystal structure of Na3LiAg3Br8, from Alexandria via LeMat-Bulk.

Structure (CIF):
```
data_Na3LiAg3Br8
_cell_length_a 13.826
_cell_length_b 8.476
_cell_length_c 8.161
_cell_angle_alpha 90.00
_cell_angle_beta 122.55
_cell_angle_gamma 90.00
_symmetry_space_group_name_H-M 'C 1 2/m 1'
_symmetry_Int_Tables_number 12
_symmetry_space_group_name_Hall '-C 2y'
loop_
_atom_site_label
_atom_site_fract_x
_atom_site_fract_y
_atom_site_fract_z
Na1 0.000 0.000 0.000
Na2 0.250 0.250 0.500
Li1 0.000 0.500 0.000
Ag1 0.000 0.500 0.500
Ag2 0.250 0.250 0.000
Br1 0.011 0.272 0.766
Br2 0.237 0.500 0.218
Br3 0.247 0.000 0.257
```

Results
Fermi-level density of states ... 30.136 states/eV per cell
Magnetization ... 0.0 μB/cell
Energy ... -83.3 eV/cell

The following is a GGA-PBE calculation of an optimized crystal structure of SrSe2NO, from Alexandria via LeMat-Bulk.

Structure (CIF):
```
data_SrSe2NO
_cell_length_a 4.208
_cell_length_b 4.208
_cell_length_c 5.426
_cell_angle_alpha 90.00
_cell_angle_beta 90.00
_cell_angle_gamma 90.00
_symmetry_space_group_name_H-M 'P 4/m m m'
_symmetry_Int_Tables_number 123
_symmetry_space_group_name_Hall '-P 4 2'
loop_
_atom_site_label
_atom_site_fract_x
_atom_site_fract_y
_atom_site_fract_z
Sr1 0.000 0.000 0.000
Se1 0.000 0.500 0.500
N1 0.500 0.500 0.000
O1 0.500 0.500 0.500
```

Results
Fermi-level density of states ... 3.905 states/eV per cell
Magnetization ... 2.5 μB/cell
ΔE to the lowest computed polymorph ... 0 meV per atom
Energy ... -20.5 eV/cell

The following is a GGA-PBE calculation of an optimized crystal structure of BaSnO3, from Alexandria via LeMat-Bulk.

Structure (CIF):
```
data_BaSnO3
_cell_length_a 4.594
_cell_length_b 4.594
_cell_length_c 4.594
_cell_angle_alpha 90.00
_cell_angle_beta 90.00
_cell_angle_gamma 90.00
_symmetry_space_group_name_H-M 'P m -3 m'
_symmetry_Int_Tables_number 221
_symmetry_space_group_name_Hall '-P 4 2 3'
loop_
_atom_site_label
_atom_site_fract_x
_atom_site_fract_y
_atom_site_fract_z
Ba1 0.000 0.000 0.000
Sn1 0.500 0.500 0.500
O1 0.000 0.000 0.500
```

Results
Fermi-level density of states ... 1.549 states/eV per cell
Magnetization ... 0.0 μB/cell
Energy ... -23.0 eV/cell

The following is a GGA-PBE calculation of an optimized crystal structure of YGaBr2, from Alexandria via LeMat-Bulk.

Structure (CIF):
```
data_YGaBr2
_cell_length_a 3.6792
_cell_length_b 3.6792
_cell_length_c 31.0202
_cell_angle_alpha 90.00
_cell_angle_beta 90.00
_cell_angle_gamma 120.00
_symmetry_space_group_name_H-M 'R -3 m'
_symmetry_Int_Tables_number 166
_symmetry_space_group_name_Hall '-R 3 2"'
loop_
_atom_site_label
_atom_site_fract_x
_atom_site_fract_y
_atom_site_fract_z
Y1 0.0000 0.0000 0.0000
Ga1 0.0000 0.0000 0.5000
Br1 0.0000 0.0000 0.3968
```

Results
Fermi-level density of states ... 8.172 states/eV per cell
Magnetization ... 0.9 μB/cell
ΔE to the lowest computed polymorph ... 0 meV per atom
Energy ... -49.6 eV/cell

Copy entry 5 word for word.
The following is a GGA-PBE calculation of an optimized crystal structure of NbNiB2Au, from Alexandria via LeMat-Bulk.

Structure (CIF):
```
data_NbNiB2Au
_cell_length_a 3.854
_cell_length_b 3.854
_cell_length_c 4.731
_cell_angle_alpha 90.00
_cell_angle_beta 90.00
_cell_angle_gamma 90.00
_symmetry_space_group_name_H-M 'P 4/m m m'
_symmetry_Int_Tables_number 123
_symmetry_space_group_name_Hall '-P 4 2'
loop_
_atom_site_label
_atom_site_fract_x
_atom_site_fract_y
_atom_site_fract_z
Nb1 0.000 0.000 0.000
Ni1 0.500 0.500 0.500
B1 0.000 0.500 0.500
Au1 0.500 0.500 0.000
```

Results
E_form ... 466 kJ/mol of formula units
Fermi-level density of states ... 3.645 states/eV per cell
Magnetization ... 0.0 μB/cell
Energy ... -27.7 eV/cell

- Look up the energy of the tenth one.
  -20.5 eV/cell

- Number 3 is which compound?
  BaAlAs2